No. 1
# NaSr2Nb

NaSr2Nb after structural relaxation (PBE-GGA, Alexandria via LeMat-Bulk).

Lattice parameters (Å, degrees): 8.3944 8.3944 8.3944 90.00 90.00 90.00
Last column: nearest neighbours and their distance in Å.
Space group Fm-3m (No. 225)
Symmetry-distinct sites (fractional):
Na  0.0000  0.0000  0.0000 (multiplicity 4)  8 Sr 3.63
Sr  0.2500  0.2500  0.2500 (multiplicity 8)  4 Nb 3.63, 4 Na 3.63
Nb  0.0000  0.0000  0.5000 (multiplicity 4)  8 Sr 3.63

Summary:
**Crystal system**: cubic
**Energy above the lowest structure with this stoichiometry**: 0.000 eV per atom
**DFT formation energy**: 0.7062 eV per atom
**D(E_F)**: 2.66 states/eV/f.u.



No. 2
# NaSrNb2V

NaSrNb2V after structural relaxation (PBE-GGA, Alexandria via LeMat-Bulk).

Lattice parameters (Å, degrees): 5.0343 5.0343 4.7103 90.00 90.00 90.00
Last column: nearest neighbours and their distance in Å.
Space group P4/mmm (No. 123)
Symmetry-distinct sites (fractional):
Na  0.0000  0.0000  0.0000 (multiplicity 1)  8 Nb 3.45, 4 V 3.56
Sr  0.5000  0.5000  0.5000 (multiplicity 1)  2 V 2.36, 4 Nb 2.52
Nb  0.0000  0.5000  0.5000 (multiplicity 2)  2 Sr 2.52
V  0.5000  0.5000  0.0000 (multiplicity 1)  2 Sr 2.36

Summary:
**Crystal system**: tetragonal
**DFT formation energy**: 2.5170 eV per atom
**D(E_F)**: 9.35 states/eV/f.u.



No. 3
# NaTaNb3

NaTaNb3 after structural relaxation (PBE-GGA, Alexandria via LeMat-Bulk).

Lattice parameters (Å, degrees): 5.0005 5.0005 5.0005 90.00 90.00 90.00
Last column: nearest neighbours and their distance in Å.
Space group Pm-3m (No. 221)
Symmetry-distinct sites (fractional):
Na  0.0000  0.0000  0.0000 (multiplicity 1)  12 Nb 3.54
Ta  0.5000  0.5000  0.5000 (multiplicity 1)  6 Nb 2.50
Nb  0.0000  0.5000  0.5000 (multiplicity 3)  2 Ta 2.50

Summary:
**Crystal system**: cubic
**Energy above the lowest structure with this stoichiometry**: 0.000 eV per atom
**DFT formation energy**: 1.4474 eV per atom
**D(E_F)**: 9.42 states/eV/f.u.



No. 4
# Na2TaNb

Na2TaNb after structural relaxation (PBE-GGA, Alexandria via LeMat-Bulk).

Lattice parameters (Å, degrees): 6.8652 6.8652 6.8652 90.00 90.00 90.00
Last column: nearest neighbours and their distance in Å.
Space group Fm-3m (No. 225)
Symmetry-distinct sites (fractional):
Na  0.2500  0.2500  0.2500 (multiplicity 8)  4 Ta 2.97, 4 Nb 2.97
Ta  0.0000  0.0000  0.0000 (multiplicity 4)  8 Na 2.97
Nb  0.0000  0.0000  0.5000 (multiplicity 4)  8 Na 2.97

Summary:
**Crystal system**: cubic
**Energy above the lowest structure with this stoichiometry**: 0.153 eV per atom
**DFT formation energy**: 1.6013 eV per atom
**D(E_F)**: 4.68 states/eV/f.u.



No. 5
# NaTaNb2

NaTaNb2 after structural relaxation (PBE-GGA, Alexandria via LeMat-Bulk).

Lattice parameters (Å, degrees): 6.7099 6.7099 6.7099 90.00 90.00 90.00
Last column: nearest neighbours and their distance in Å.
Space group Fm-3m (No. 225)
Symmetry-distinct sites (fractional):
Na  0.0000  0.0000  0.0000 (multiplicity 4)  8 Nb 2.91
Ta  0.0000  0.0000  0.5000 (multiplicity 4)  8 Nb 2.91
Nb  0.2500  0.2500  0.2500 (multiplicity 8)  4 Ta 2.91, 4 Na 2.91

Summary:
**Crystal system**: cubic
**Energy above the lowest structure with this stoichiometry**: 0.000 eV per atom
**DFT formation energy**: 0.7286 eV per atom
**D(E_F)**: 4.35 states/eV/f.u.



No. 6
# NaTaNb2

NaTaNb2 after structural relaxation (PBE-GGA, Alexandria via LeMat-Bulk).

Lattice parameters (Å, degrees): 4.0256 4.0256 19.8375 90.00 90.00 90.00
Last column: nearest neighbours and their distance in Å.
Space group I-42d (No. 122)
Symmetry-distinct sites (fractional):
Na  0.0000  0.0000  0.0000 (multiplicity 4)  4 Ta 2.85, 4 Nb 2.89
Ta  0.0000  0.0000  0.5000 (multiplicity 4)  4 Nb 2.83, 4 Na 2.85
Nb  0.2304  0.2500  0.6250 (multiplicity 8)  4 Nb 2.74-2.96, 2 Ta 2.83, 2 Na 2.89

Summary:
**Crystal system**: tetragonal
**Energy above the lowest structure with this stoichiometry**: 0.450 eV per atom
**DFT formation energy**: 1.1787 eV per atom
**D(E_F)**: 1.44 states/eV/f.u.